Run A
The following is a DFT calculation (GGA-PBE) of a relaxed ScReAu2 crystal.

```
ScReAu2
1.0
3.4193 0.8566 3.0462
-0.1658 3.8089 2.6777
-0.7994 -0.3999 4.5723
Sc Re Au
1 1 2
Direct
0.0000 0.0000 0.0000
0.5000 0.5000 0.5000
0.2500 0.2500 0.2500
0.7500 0.7500 0.7500
```

- magnetic moment (Bohr magnetons per cell) = 1.30

---

Run B
The following is a DFT calculation (GGA-PBE) of a relaxed ScReAu2 crystal.

```
ScReAu2
1.0
4.6483 0.0000 0.0000
2.3241 4.0255 0.0000
2.3241 1.3418 3.7953
Au Re Sc
2 1 1
Direct
0.0000 0.0000 0.0000
0.2500 0.2500 0.2500
0.5000 0.5000 0.5000
0.7500 0.7500 0.7500
```

- magnetic moment (Bohr magnetons per cell) = 1.90

---

Name the least stable of them. run B.

---

Run A
The following is a DFT calculation (GGA-PBE) of a relaxed AgSb2AsI crystal.

```
AgSb2AsI
1.0
-3.1488 -4.1317 -1.6570
3.8923 -3.5403 1.4312
-2.2229 -0.3667 5.1384
I Sb As Ag
1 2 1 1
Direct
0.0000 0.0000 0.5000
0.0000 0.5000 0.0000
0.5000 0.0000 0.0000
0.0000 0.0000 0.0000
0.5000 0.5000 0.5000
```

- magnetic moment (Bohr magnetons per cell) = 0.78

---

Run B
The following is a DFT calculation (GGA-PBE) of a relaxed AgSb2AsI crystal.

```
AgSb2AsI
1.0
-5.0559 -0.2194 -1.9236
-0.2917 -5.2313 1.3633
-1.9017 1.3680 4.8424
I Sb As Ag
1 2 1 1
Direct
0.0000 0.0000 0.5000
0.0000 0.5000 0.0000
0.5000 0.0000 0.0000
0.5000 0.5000 0.5000
0.0000 0.0000 0.0000
```

- magnetic moment (Bohr magnetons per cell) = 0.00

---

Name the least stable of them. run B.

---

Run A
The following is a DFT calculation (GGA-PBE) of a relaxed TcIrOs2 crystal.

```
TcIrOs2
1.0
4.5903 0.0000 0.0000
0.0000 2.7185 -0.0012
0.0000 0.1007 4.8022
Ir Os Tc
1 2 1
Direct
0.5000 0.7500 0.7500
0.0000 0.9076 0.0036
0.0000 0.5924 0.4964
0.5000 0.2500 0.2500
```

- magnetic moment (Bohr magnetons per cell) = 0.00

---

Run B
The following is a DFT calculation (GGA-PBE) of a relaxed TcIrOs2 crystal.

```
TcIrOs2
1.0
4.7326 -0.0005 0.0024
3.9467 2.6117 0.0024
0.7822 0.2353 4.6650
Ir Os Tc
1 2 1
Direct
0.2504 0.2504 0.2517
0.0018 0.0018 0.9922
0.7488 0.7488 0.7530
0.4990 0.4990 0.5031
```

- magnetic moment (Bohr magnetons per cell) = 0.00

---

Name the least stable of them. run A.

---

Run A
The following is a DFT calculation (GGA-PBE) of a relaxed Ta2AgRu crystal.

```
Ta2AgRu
1.0
6.4306 0.0012 0.0034
-2.5194 4.1315 -0.0044
1.3918 0.8583 2.5185
Ag Ru Ta
1 1 2
Direct
0.0000 0.5000 0.5000
0.5000 0.5000 0.0000
0.0000 0.0000 0.0000
0.5000 0.0000 0.5000
```

- magnetic moment (Bohr magnetons per cell) = 0.00

---

Run B
The following is a DFT calculation (GGA-PBE) of a relaxed Ta2AgRu crystal.

```
Ta2AgRu
1.0
4.5650 0.0000 0.0000
2.2825 3.9534 0.0000
2.2825 1.3178 3.7273
Ag Ru Ta
1 1 2
Direct
0.5000 0.5000 0.5000
0.2500 0.2500 0.2500
0.0000 0.0000 0.0000
0.7500 0.7500 0.7500
```

- magnetic moment (Bohr magnetons per cell) = 0.54

---

Name the least stable of them. run B.